# 1
20
Lattice="6.1330 3.5409 2.7830 -6.1330 3.5409 2.7830 0.0000 -7.0818 2.7830" Properties=species:S:1:pos:R:3 comment="Ho3TlSe4O12 GGA-PBE relaxed" total_magnetization_mub_per_cell=0.90 final_energy_ev_per_atom=-6.0018 formation_energy_uncorrected_ev_per_atom=-1.525 volume_a3_per_fu=362.63 pbc="T T T"
Ho -3.4780 -1.0577 2.7830
Ho 2.6550 -2.4832 2.7830
Ho 0.8230 3.5409 2.7830
Tl 0.0000 0.0000 0.0000
Se -2.6581 -4.6039 4.1746
Se 0.0000 0.0000 4.1746
Se -2.6581 4.6039 4.1746
Se 5.3162 0.0000 4.1746
O -3.3373 -3.0050 4.1340
O -4.7062 0.0000 4.1746
O -0.9338 -4.3927 4.2151
O -1.9081 0.0000 4.1746
O -3.3373 3.0050 4.2151
O 2.3531 -4.0757 4.1746
O 0.9540 -1.6524 4.1746
O -0.9338 4.3927 4.1340
O 0.9540 1.6524 4.1746
O 4.2711 -1.3876 4.1340
O 2.3531 4.0757 4.1746
O 4.2711 1.3877 4.2151



# 2
11
Lattice="4.8075 -2.9528 0.0000 4.8075 2.9528 0.0000 -1.9271 0.0000 7.2742" Properties=species:S:1:pos:R:3 comment="HoTl2Se2O6 GGA-PBE relaxed" total_magnetization_mub_per_cell=0.00 final_energy_ev_per_atom=-5.5158 formation_energy_uncorrected_ev_per_atom=-1.331 volume_a3_per_fu=206.52 pbc="T T T"
Ho 0.0000 0.0000 0.0000
Tl 1.0255 0.0000 4.3891
Tl 6.6623 0.0000 2.8851
Se 3.2729 0.0000 1.8460
Se 4.4149 0.0000 5.4282
O 2.1793 0.0000 0.5326
O 4.3534 1.3361 1.5403
O 3.3344 1.3361 5.7339
O 4.3534 -1.3361 1.5403
O 3.3344 -1.3361 5.7339
O 5.5086 0.0000 6.7416



# 3
12
Lattice="-2.5699 2.5699 5.6237 2.5699 -2.5699 5.6237 2.5699 2.5699 -5.6237" Properties=species:S:1:pos:R:3 comment="HoTmSe2O8 GGA-PBE relaxed" total_magnetization_mub_per_cell=0.00 final_energy_ev_per_atom=-6.4651 formation_energy_uncorrected_ev_per_atom=-1.825 volume_a3_per_fu=148.56 pbc="T T T"
Ho 0.0000 0.0000 0.0000
Tm 2.5699 0.0000 2.8118
Se 0.0000 0.0000 5.6237
Se 0.0000 2.5699 2.8118
O 1.4628 -0.8461 4.6519
O 1.7238 1.1071 0.9718
O -0.8177 1.3771 1.9333
O 1.1071 3.4160 -0.9718
O 1.1928 1.7522 3.6904
O 0.8461 1.4628 6.5954
O 0.8177 3.7626 1.9333
O -1.1928 3.3875 3.6904



# 4
10
Lattice="3.9298 0.0000 0.0000 0.0000 3.9298 0.0000 0.0000 0.0000 14.4167" Properties=species:S:1:pos:R:3 comment="HoTmSe2O GGA-PBE relaxed" total_magnetization_mub_per_cell=0.00 final_energy_ev_per_atom=-6.6049 formation_energy_uncorrected_ev_per_atom=-2.410 volume_a3_per_fu=111.32 pbc="T T T"
Ho 0.9825 0.9825 1.0913
Ho 2.9474 2.9474 13.3253
Tm 0.9825 0.9825 9.0529
Tm 2.9474 2.9474 5.3638
Se 0.9825 0.9825 5.9448
Se 0.9825 0.9825 11.6499
Se 2.9474 2.9474 2.7668
Se 2.9474 2.9474 8.4719
O 0.9825 2.9474 0.0000
O 2.9474 0.9825 0.0000